! HoWO5 | the Alexandria database | PBE with a Hubbard U | relaxed; values from VASP
! Total DFT energy (no corrections) (eV/atom): -7.571
! Size of the total moment (μB/atom): 0.147
! Symmetry: No. 15
! N(E_F) (states/eV/f.u.): 2.5
&SYSTEM
  ibrav = 0, nat = 14, ntyp = 3
/
ATOMIC_SPECIES
Ho 164.93 Ho.upf
W 183.84 W.upf
O 16.00 O.upf
CELL_PARAMETERS angstrom
-4.102 0.219 -3.742
1.892 -1.920 -4.859
-2.743 -7.022 -1.272
ATOMIC_POSITIONS crystal
Ho 0.550 0.450 0.250
Ho 0.450 0.550 0.750
W 0.000 0.000 0.000
W 0.000 0.000 0.500
O 0.787 0.751 0.117
O 0.285 0.697 0.461
O 0.751 0.787 0.617
O 0.920 0.080 0.250
O 0.303 0.715 0.039
O 0.697 0.285 0.961
O 0.080 0.920 0.750
O 0.249 0.213 0.383
O 0.715 0.303 0.539
O 0.213 0.249 0.883